1.
Ca4Zn2In: relaxed, PBE.

a b c (Å): 5.2607 5.2607 25.7428
angles (deg): 90.00 90.00 120.00
Closest atoms and distances in Å follow each position.
Space group R-3m (No. 166, hexagonal axes)
Inequivalent atoms, fractional coordinates:
Ca: 0.0000 0.0000 0.1205 (multiplicity 6)  4 Zn 3.16-3.25, 3 In 3.26
Ca: 0.0000 0.0000 0.3726 (multiplicity 6)  4 Zn 3.24-3.27, 1 In 3.28
Zn: 0.0000 0.0000 0.2466 (multiplicity 6)  8 Ca 3.16-3.27
In: 0.0000 0.0000 0.5000 (multiplicity 3)  8 Ca 3.26-3.28

Calculated values
Energy relative to the elements in meV/atom: -239
Fermi-level density of states in states/eV per cell: 12.67



2.
Ca6Zn2In: relaxed, PBE.

a b c (Å): 9.9644 10.4311 10.9354
angles (deg): 90.00 90.00 90.00
Closest atoms and distances in Å follow each position.
Space group Immm (No. 71)
Inequivalent atoms, fractional coordinates:
Ca: 0.0000 0.1928 0.2465 (multiplicity 8)  1 Zn 3.11, 2 In 3.36-3.42
Ca: 0.2010 0.5000 0.1690 (multiplicity 8)  3 Zn 3.06-3.19
Ca: 0.2208 0.3168 0.5000 (multiplicity 8)  3 Zn 3.19-3.23, 1 In 3.38
Zn: 0.0000 0.3410 0.0000 (multiplicity 4)  8 Ca 3.11-3.23, 1 Zn 3.32
Zn: 0.0000 0.5000 0.3809 (multiplicity 4)  1 Zn 2.60
In: 0.0000 0.0000 0.0000 (multiplicity 2)  8 Ca 3.36-3.38, 2 Zn 3.56
In: 0.0000 0.0000 0.5000 (multiplicity 2)  8 Ca 3.42-3.51

Calculated values
Energy relative to the elements in meV/atom: -235
Fermi-level density of states in states/eV per cell: 34.45



3.
CaZn10In: relaxed, PBE.

a b c (Å): 4.2864 5.4596 9.1701
angles (deg): 90.00 90.00 90.00
Closest atoms and distances in Å follow each position.
Space group Pmmm (No. 47)
Inequivalent atoms, fractional coordinates:
Ca: 0.0000 0.0000 0.0000 (multiplicity 1)  18 Zn 3.13-3.47
Zn: 0.0000 0.0000 0.3417 (multiplicity 2)  6 Zn 2.59-2.68
Zn: 0.0000 0.5000 0.1786 (multiplicity 2)  6 Zn 2.63-2.70
Zn: 0.5000 0.0000 0.5000 (multiplicity 1)  8 Zn 2.59-2.72
Zn: 0.5000 0.2399 0.2399 (multiplicity 4)  8 Zn 2.62-2.84
Zn: 0.5000 0.5000 0.0000 (multiplicity 1)  8 Zn 2.62-2.70
In: 0.0000 0.5000 0.5000 (multiplicity 1)  6 Zn 2.95-3.09

Calculated values
Energy relative to the elements in meV/atom: -77
Fermi-level density of states in states/eV per cell: 4.02



4.
Ca3Zn3In8: relaxed, PBE.

a b c (Å): 4.7771 10.9465 13.1587
angles (deg): 90.00 90.00 90.00
Closest atoms and distances in Å follow each position.
Space group Immm (No. 71)
Inequivalent atoms, fractional coordinates:
Ca: 0.0000 0.0000 0.0000 (multiplicity 2)  8 In 3.32
Ca: 0.0000 0.0000 0.2862 (multiplicity 4)  2 Zn 3.16, 8 In 3.41-3.49
Zn: 0.0000 0.1319 0.5000 (multiplicity 4)  3 Zn 2.79-2.89, 6 In 3.04-3.11
Zn: 0.0000 0.5000 0.0000 (multiplicity 2)  4 Zn 2.79, 4 In 2.88
In: 0.0000 0.2970 0.1392 (multiplicity 8)  3 Zn 2.88-3.11, 3 In 2.95-3.10
In: 0.0000 0.3604 0.3685 (multiplicity 8)  4 In 2.95-3.10, 1 Zn 3.04

Calculated values
Energy relative to the elements in meV/atom: -248
Fermi-level density of states in states/eV per cell: 6.87



5.
Ca2ZrZnIn: relaxed, PBE.

a b c (Å): 5.4565 5.4565 5.1551
angles (deg): 90.00 90.00 90.00
Closest atoms and distances in Å follow each position.
Space group P4/mmm (No. 123)
Inequivalent atoms, fractional coordinates:
Ca: 0.0000 0.5000 0.0000 (multiplicity 2)  2 Zn 2.73
Zr: 0.0000 0.0000 0.5000 (multiplicity 1)  2 Zn 2.58
Zn: 0.0000 0.0000 0.0000 (multiplicity 1)  2 Zr 2.58, 4 Ca 2.73
In: 0.5000 0.5000 0.5000 (multiplicity 1)  8 Ca 3.75, 4 Zr 3.86

Calculated values
Energy relative to the elements in meV/atom: 247
Fermi-level density of states in states/eV per cell: 6.28



6.
Ca2ZrIn: relaxed, PBE.

a b c (Å): 3.4646 3.4646 9.9223
angles (deg): 90.00 90.00 90.00
Closest atoms and distances in Å follow each position.
Space group P4mm (No. 99)
Inequivalent atoms, fractional coordinates:
Ca: 0.0000 0.0000 0.0000 (multiplicity 1)  4 Ca 3.46, 4 Zr 3.53
Ca: 0.5000 0.5000 0.3211 (multiplicity 1)  4 In 3.33, 4 Ca 3.46
Zr: 0.5000 0.5000 0.7439 (multiplicity 1)  4 In 3.12, 4 Zr 3.46
In: 0.0000 0.0000 0.5487 (multiplicity 1)  4 Zr 3.12, 4 Ca 3.33, 4 In 3.46

Calculated values
Energy relative to the elements in meV/atom: -40
Fermi-level density of states in states/eV per cell: 3.95